# 1
The following is a DFT calculation (PBEsol) of Hg2TeBr after structural relaxation.

a b c (Å): 4.446 4.446 7.042
angles (deg): 71.60 71.60 60.00
Fractional positions:
Hg: 0.755 0.755 0.734
Hg: 0.005 0.005 0.984
Br: 0.259 0.259 0.222
Te: 0.480 0.480 0.560

Offset from the most stable computed form in kJ/mol of formula units: 0
Formation energy without anion corrections in meV per atom: -28
Space group: R3m (160)



# 2
The following is a DFT calculation (PBEsol) of DyTmRu2 after structural relaxation.

a b c (Å): 4.696 4.696 4.696
angles (deg): 60.00 60.00 60.00
Fractional positions:
Ru: 0.750 0.750 0.750
Ru: 0.250 0.250 0.250
Dy: 0.500 0.500 0.500
Tm: 0.000 0.000 0.000

Energy of formation from the pure elements in meV per atom: -314
Space group: Fm-3m (225)



# 3
The following is a DFT calculation (PBEsol) of SrCaTa2 after structural relaxation.

a b c (Å): 2.915 6.135 6.218
angles (deg): 114.39 93.74 110.06
Fractional positions:
Ta: 0.500 0.500 0.500
Ta: 0.000 0.000 0.500
Ca: 0.500 0.000 0.000
Sr: 0.000 0.500 0.000

Offset from the most stable computed form in kJ/mol of formula units: 92
Energy of formation from the pure elements in meV per atom: 1007
Space group: C2/m (12)



# 4
The following is a DFT calculation (PBEsol) of LiTe2Cl after structural relaxation.

a b c (Å): 3.896 4.065 7.737
angles (deg): 106.65 90.00 90.00
Fractional positions:
Te: 0.000 0.177 0.073
Te: 0.500 0.751 0.198
Cl: 0.000 0.442 0.624
Li: 0.500 0.130 0.606

Offset from the most stable computed form in kJ/mol of formula units: 0
Formation energy without anion corrections in meV per atom: -693
Space group: Pm (6)



# 5
The following is a DFT calculation (PBEsol) of Nb2PdS6 after structural relaxation.

a b c (Å): 3.237 6.173 9.159
angles (deg): 78.03 79.82 74.80
Fractional positions:
S: 0.782 0.310 0.125
S: 0.009 0.221 0.761
S: 0.991 0.779 0.239
S: 0.340 0.783 0.538
S: 0.218 0.690 0.875
S: 0.660 0.217 0.462
Pd: 0.000 0.000 0.000
Nb: 0.682 0.926 0.710
Nb: 0.318 0.074 0.290

Formation energy without anion corrections in meV per atom: -857
Space group: C2/m (12)



# 6
The following is a DFT calculation (PBEsol) of LaRePb2 after structural relaxation.

a b c (Å): 3.556 3.556 7.837
angles (deg): 90.00 90.02 90.00
Fractional positions:
Re: 0.000 0.000 0.465
La: 0.499 0.500 0.706
Pb: 0.500 0.500 0.294
Pb: 0.000 0.000 0.034

Offset from the most stable computed form in kJ/mol of formula units: 0
Energy of formation from the pure elements in meV per atom: 369
Space group: P4mm (99)



# 7
The following is a DFT calculation (PBEsol) of Ca2HgOF after structural relaxation.

a b c (Å): 4.437 4.437 5.216
angles (deg): 90.00 90.00 90.00
Fractional positions:
Ca: 0.500 0.000 0.000
Ca: 0.000 0.500 0.000
O: 0.000 0.000 0.000
Hg: 0.500 0.500 0.500
F: 0.000 0.000 0.500

Formation energy without anion corrections in meV per atom: -1574
Space group: P4/mmm (123)



# 8
The following is a DFT calculation (PBEsol) of La2YSe after structural relaxation.

a b c (Å): 3.661 5.493 5.493
angles (deg): 90.00 90.00 90.00
Fractional positions:
Se: 0.500 0.500 0.500
La: 0.000 0.500 0.000
La: 0.000 0.000 0.500
Y: 0.500 0.000 0.000

Formation energy without anion corrections in meV per atom: -591
Space group: P4/mmm (123)



# 9
The following is a DFT calculation (PBEsol) of InFeC2F after structural relaxation.

a b c (Å): 4.139 4.245 4.245
angles (deg): 90.00 90.00 90.00
Fractional positions:
C: 0.000 0.000 0.500
C: 0.000 0.500 0.000
F: 0.500 0.000 0.000
Fe: 0.500 0.500 0.500
In: 0.000 0.000 0.000

Formation energy without anion corrections in meV per atom: 1842
Space group: P4/mmm (123)



# 10
The following is a DFT calculation (PBEsol) of SnSbOs3 after structural relaxation.

a b c (Å): 4.797 4.797 4.797
angles (deg): 90.00 90.00 90.00
Fractional positions:
Os: 0.500 0.000 0.000
Os: 0.000 0.000 0.500
Os: 0.000 0.500 0.000
Sb: 0.500 0.500 0.500
Sn: 0.000 0.000 0.000

Formation energy without anion corrections in meV per atom: 2544
Space group: Pm-3m (221)



# 11
The following is a DFT calculation (PBEsol) of Zr3AuO after structural relaxation.

a b c (Å): 4.390 4.390 4.390
angles (deg): 90.00 90.00 90.00
Fractional positions:
Au: 0.500 0.500 0.500
Zr: 0.500 0.000 0.000
Zr: 0.000 0.000 0.500
Zr: 0.000 0.500 0.000
O: 0.000 0.000 0.000

Formation energy without anion corrections in meV per atom: -1336
Space group: Pm-3m (221)



# 12
The following is a DFT calculation (PBEsol) of SrTc2Os after structural relaxation.

a b c (Å): 2.801 2.801 10.002
angles (deg): 81.95 81.95 60.00
Fractional positions:
Sr: 0.000 0.000 0.000
Tc: 0.762 0.762 0.713
Tc: 0.238 0.238 0.287
Os: 0.500 0.500 0.500

Offset from the most stable computed form in kJ/mol of formula units: 0
Energy of formation from the pure elements in meV per atom: 821
Space group: R-3m (166)